This record from Alexandria via LeMat-Bulk describes an optimized crystal structure of CsYMn2Se4. The functional is GGA-PBE.

Lattice parameters (Å, degrees): 6.8383 7.3137 7.3137 73.81 62.13 62.13
Closest atoms and distances in Å follow each position.
Fractional coordinates of all 8 atoms:
Cs (0.0000, 0.0000, 0.0000)  8 Se 3.79-3.83
Y (0.5000, 0.5000, 0.5000)  4 Se 2.77
Mn (0.1020, 0.3980, 0.3980)  1 Mn 1.94
Mn (0.8980, 0.6020, 0.6020)  1 Mn 1.94
Se (0.4212, 0.1658, 0.4894)  1 Mn 2.32
Se (0.0764, 0.8342, 0.5105)  1 Mn 2.32
Se (0.9236, 0.4894, 0.1658)  1 Mn 2.32
Se (0.5788, 0.5105, 0.8342)  1 Mn 2.32

Output
**Density**: 3.773 g/cm³
**M_tot**: 3.97 Bohr magnetons per cell
**Formation energy from raw total energies**: -488 kJ/mol of formula units


This record from Alexandria via LeMat-Bulk describes an optimized crystal structure of TlBrCl. The functional is GGA-PBE.

Lattice parameters (Å, degrees): 5.3415 5.3415 5.3415 60.00 60.00 60.00
Closest atoms and distances in Å follow each position.
Fractional coordinates of all 3 atoms:
Tl (0.0000, 0.0000, 0.0000)  4 Cl 3.27
Br (0.5000, 0.5000, 0.5000)  4 Cl 3.27
Cl (0.7500, 0.7500, 0.7500)  4 Br 3.27, 4 Tl 3.27

Output
**Density**: 4.927 g/cm³
**M_tot**: 1.04 Bohr magnetons per cell
**DOS(E_F)**: 1.39 states/eV/atom
**Formation energy from raw total energies**: -86 kJ/mol of formula units
**Energy above the most stable polymorph in this dataset**: 0.4180 eV/atom


This record from Alexandria via LeMat-Bulk describes an optimized crystal structure of CaSi4. The functional is GGA-PBE.

Lattice parameters (Å, degrees): 5.2024 5.2024 5.2024 90.00 90.00 90.00
Closest atoms and distances in Å follow each position.
Fractional coordinates of all 5 atoms:
Ca (0.5000, 0.5000, 0.5000)  6 Si 2.60
Si (0.0000, 0.0000, 0.0000)  12 Si 3.68
Si (0.5000, 0.0000, 0.5000)  2 Ca 2.60
Si (0.0000, 0.5000, 0.5000)  2 Ca 2.60
Si (0.5000, 0.5000, 0.0000)  2 Ca 2.60

Output
**Density**: 1.798 g/cm³
**M_tot**: 0.61 Bohr magnetons per cell
**DOS(E_F)**: 0.94 states/eV/atom
**Formation energy from raw total energies**: 841 kJ/mol of formula units
**Energy above the most stable polymorph in this dataset**: 1.8158 eV/atom


This record from Alexandria via LeMat-Bulk describes an optimized crystal structure of As2IrPt. The functional is GGA-PBE.

Lattice parameters (Å, degrees): 3.5593 3.5579 5.3148 90.00 90.00 90.00
Closest atoms and distances in Å follow each position.
Fractional coordinates of all 4 atoms:
As (0.0000, 0.0000, 0.9270)  1 Ir 2.47, 4 Pt 2.61
As (0.5000, 0.5000, 0.3184)  2 Pt 2.52-2.79, 4 Ir 2.63
Ir (0.0000, 0.0000, 0.4613)  5 As 2.47-2.63
Pt (0.5000, 0.5000, 0.7932)  6 As 2.52-2.79

Output
**Density**: 13.252 g/cm³
**DFT formation energy**: -31 kJ/mol of formula units
**M_tot**: 0.00 Bohr magnetons per cell
**DOS(E_F)**: 0.44 states/eV/atom
**Energy above the most stable polymorph in this dataset**: 0.0031 eV/atom


This record from Alexandria via LeMat-Bulk describes an optimized crystal structure of NdMgPb3. The functional is GGA-PBE.

Lattice parameters (Å, degrees): 6.4838 6.5569 13.5934 90.00 90.00 90.14
Closest atoms and distances in Å follow each position.
Fractional coordinates of all 20 atoms:
Nd (0.5000, 0.2497, 0.6918)  9 Pb 3.25-3.49, 2 Mg 3.48-3.49
Nd (0.5000, 0.7503, 0.3082)  9 Pb 3.25-3.49, 2 Mg 3.48-3.49
Nd (0.0000, 0.2497, 0.3082)  9 Pb 3.25-3.49, 2 Mg 3.48-3.49
Nd (0.0000, 0.7503, 0.6918)  9 Pb 3.25-3.49, 2 Mg 3.48-3.49
Mg (0.2500, 0.5000, 0.1161)  6 Pb 3.10-3.31, 2 Mg 3.28
Mg (0.7500, 0.0000, 0.8840)  6 Pb 3.10-3.32, 2 Mg 3.28
Mg (0.7500, 0.5000, 0.8839)  6 Pb 3.10-3.31, 2 Mg 3.28
Mg (0.2500, 0.0000, 0.1160)  6 Pb 3.10-3.32, 2 Mg 3.28
Pb (0.2500, 0.0000, 0.4990)  4 Pb 3.24-3.28, 4 Nd 3.47-3.49
Pb (0.7500, 0.5000, 0.5007)  4 Pb 3.24-3.28, 4 Nd 3.47-3.49
Pb (0.7500, 0.0000, 0.5010)  4 Pb 3.24-3.28, 4 Nd 3.47-3.49
Pb (0.2500, 0.5000, 0.4993)  4 Pb 3.24-3.28, 4 Nd 3.47-3.49
Pb (0.1861, 0.7499, 0.9249)  4 Mg 3.10-3.32, 3 Pb 3.34-3.38, 1 Nd 3.39
Pb (0.8139, 0.2501, 0.0751)  4 Mg 3.10-3.32, 3 Pb 3.34-3.38, 1 Nd 3.39
Pb (0.6861, 0.7499, 0.0751)  4 Mg 3.10-3.32, 3 Pb 3.34-3.38, 1 Nd 3.39
Pb (0.3139, 0.2501, 0.9249)  4 Mg 3.10-3.32, 3 Pb 3.34-3.38, 1 Nd 3.39
Pb (0.4956, 0.7497, 0.7286)  2 Mg 3.14, 4 Nd 3.25-3.32, 1 Pb 3.34
Pb (0.5044, 0.2503, 0.2714)  2 Mg 3.14, 4 Nd 3.25-3.32, 1 Pb 3.34
Pb (0.9956, 0.7497, 0.2714)  2 Mg 3.14, 4 Nd 3.25-3.32, 1 Pb 3.34
Pb (0.0044, 0.2503, 0.7286)  2 Mg 3.14, 4 Nd 3.25-3.32, 1 Pb 3.34

Output
**Density**: 9.082 g/cm³
**DFT formation energy**: -132 kJ/mol of formula units
**M_tot**: 0.00 Bohr magnetons per cell
**DOS(E_F)**: 0.44 states/eV/atom
**Energy above the most stable polymorph in this dataset**: 0.0000 eV/atom


This record from Alexandria via LeMat-Bulk describes an optimized crystal structure of BeTl2Pt. The functional is GGA-PBE.

Lattice parameters (Å, degrees): 3.4858 3.8286 6.3790 67.11 90.00 90.00
Closest atoms and distances in Å follow each position.
Fractional coordinates of all 4 atoms:
Be (0.5000, 0.2500, 0.2500)  4 Tl 2.63
Tl (0.0000, 0.0515, 0.0067)  2 Be 2.63, 2 Pt 2.92
Tl (0.0000, 0.4485, 0.4933)  2 Be 2.63, 2 Pt 2.92
Pt (0.5000, 0.7500, 0.7500)  8 Tl 2.92-3.08, 2 Be 3.01

Output
**Density**: 12.976 g/cm³
**DFT formation energy**: 165 kJ/mol of formula units
**M_tot**: 0.00 Bohr magnetons per cell
**DOS(E_F)**: 0.55 states/eV/atom
**Energy above the most stable polymorph in this dataset**: 0.5171 eV/atom


This record from Alexandria via LeMat-Bulk describes an optimized crystal structure of YMg14Mo. The functional is GGA-PBE.

Lattice parameters (Å, degrees): 6.4506 6.4506 10.3198 90.00 90.00 122.67
Closest atoms and distances in Å follow each position.
Fractional coordinates of all 16 atoms:
Y (0.8226, 0.1774, 0.5000)  2 Mo 3.10, 10 Mg 3.19-3.24
Mg (0.8340, 0.1660, 0.0000)  12 Mg 3.09-3.27
Mg (0.3295, 0.6705, 0.0000)  12 Mg 3.09-3.27
Mg (0.3279, 0.1825, 0.5000)  8 Mg 3.03-3.27, 2 Mo 3.08-3.37, 2 Y 3.21-3.24
Mg (0.3270, 0.1662, 0.0000)  12 Mg 3.05-3.37
Mg (0.8175, 0.6721, 0.5000)  8 Mg 3.03-3.27, 2 Mo 3.08-3.37, 2 Y 3.21-3.24
Mg (0.8338, 0.6730, 0.0000)  12 Mg 3.05-3.37
Mg (0.1764, 0.3380, 0.2544)  10 Mg 3.01-3.35, 1 Mo 3.09, 1 Y 3.19
Mg (0.1764, 0.3380, 0.7456)  10 Mg 3.01-3.35, 1 Mo 3.09, 1 Y 3.19
Mg (0.6620, 0.8236, 0.2544)  10 Mg 3.01-3.35, 1 Mo 3.09, 1 Y 3.19
Mg (0.6620, 0.8236, 0.7456)  10 Mg 3.01-3.35, 1 Mo 3.09, 1 Y 3.19
Mg (0.6685, 0.3315, 0.2397)  11 Mg 3.09-3.27, 1 Y 3.20
Mg (0.6685, 0.3315, 0.7603)  11 Mg 3.09-3.27, 1 Y 3.20
Mg (0.1792, 0.8208, 0.2705)  1 Mo 2.96, 7 Mg 3.09-3.27
Mg (0.1792, 0.8208, 0.7295)  1 Mo 2.96, 7 Mg 3.09-3.27
Mo (0.3356, 0.6644, 0.5000)  8 Mg 2.96-3.09, 2 Y 3.10

Output
**Density**: 2.412 g/cm³
**DFT formation energy**: 141 kJ/mol of formula units
**M_tot**: 1.15 Bohr magnetons per cell
**DOS(E_F)**: 0.63 states/eV/atom
**Energy above the most stable polymorph in this dataset**: 0.0000 eV/atom


This record from Alexandria via LeMat-Bulk describes an optimized crystal structure of ZrTl2Cl. The functional is GGA-PBE.

Lattice parameters (Å, degrees): 5.2939 5.2939 5.2939 60.00 60.00 60.00
Closest atoms and distances in Å follow each position.
Fractional coordinates of all 4 atoms:
Tl (0.2500, 0.2500, 0.2500)  4 Zr 3.24, 4 Cl 3.24
Tl (0.7500, 0.7500, 0.7500)  4 Zr 3.24, 4 Cl 3.24
Zr (0.5000, 0.5000, 0.5000)  8 Tl 3.24
Cl (0.0000, 0.0000, 0.0000)  8 Tl 3.24

Output
**Density**: 8.475 g/cm³
**M_tot**: 0.00 Bohr magnetons per cell
**DOS(E_F)**: 1.11 states/eV/atom
**Formation energy from raw total energies**: 96 kJ/mol of formula units
**Energy above the most stable polymorph in this dataset**: 0.7931 eV/atom


This record from Alexandria via LeMat-Bulk describes an optimized crystal structure of La7Ge2Ir2. The functional is GGA-PBE.

Lattice parameters (Å, degrees): 4.4103 9.1490 9.1490 64.40 76.05 76.05
Closest atoms and distances in Å follow each position.
Fractional coordinates of all 11 atoms:
La (0.8166, 0.0555, 0.3113)  1 Ir 2.80, 2 Ge 3.07
La (0.8739, 0.4117, 0.8406)  2 Ir 2.95
La (0.5000, 0.0116, 0.9884)  3 Ir 2.98-3.24
La (0.6075, 0.5033, 0.2816)  3 Ir 3.05-3.32, 1 La 3.19, 2 Ge 3.27
La (0.3925, 0.7184, 0.4967)  3 Ir 3.05-3.32, 1 La 3.19, 2 Ge 3.27
La (0.1834, 0.6887, 0.9445)  1 Ir 2.80, 2 Ge 3.07
La (0.1261, 0.1594, 0.5883)  2 Ir 2.95
Ge (0.7313, 0.8467, 0.6907)  7 La 3.07-3.38
Ge (0.2687, 0.3093, 0.1533)  7 La 3.07-3.38
Ir (0.0000, 0.8056, 0.1944)  4 La 2.80-2.98
Ir (0.5000, 0.3438, 0.6562)  7 La 2.95-3.24

Output
**Density**: 7.816 g/cm³
**DFT formation energy**: -679 kJ/mol of formula units
**M_tot**: 0.00 Bohr magnetons per cell
**DOS(E_F)**: 1.07 states/eV/atom


This record from Alexandria via LeMat-Bulk describes an optimized crystal structure of SmPuBi. The functional is GGA-PBE.

Lattice parameters (Å, degrees): 4.2892 9.5708 9.7107 90.00 90.00 90.00
Closest atoms and distances in Å follow each position.
Fractional coordinates of all 12 atoms:
Pu (0.5000, 0.8630, 0.0703)  4 Bi 3.29, 2 Pu 3.38-3.42, 3 Sm 3.53-3.57
Pu (0.5000, 0.1770, 0.2301)  4 Bi 3.24-3.38, 2 Pu 3.38-3.42, 2 Sm 3.52-3.59
Pu (0.5000, 0.3630, 0.9297)  4 Bi 3.29, 2 Pu 3.38-3.42, 3 Sm 3.53-3.57
Pu (0.5000, 0.6770, 0.7699)  4 Bi 3.24-3.38, 2 Pu 3.38-3.42, 2 Sm 3.52-3.59
Bi (0.0000, 0.1095, 0.9888)  2 Sm 3.23, 6 Pu 3.24-3.29
Bi (0.0000, 0.1162, 0.4919)  6 Sm 3.27-3.36, 2 Pu 3.38
Bi (0.0000, 0.6162, 0.5081)  6 Sm 3.27-3.36, 2 Pu 3.38
Bi (0.0000, 0.6095, 0.0112)  2 Sm 3.23, 6 Pu 3.24-3.29
Sm (0.5000, 0.8648, 0.4350)  4 Bi 3.27-3.28, 2 Sm 3.49-3.55, 2 Pu 3.54-3.59
Sm (0.5000, 0.5436, 0.2519)  4 Bi 3.23-3.36, 2 Sm 3.49-3.55, 3 Pu 3.52-3.57
Sm (0.5000, 0.0436, 0.7481)  4 Bi 3.23-3.36, 2 Sm 3.49-3.55, 3 Pu 3.52-3.57
Sm (0.5000, 0.3648, 0.5650)  4 Bi 3.27-3.28, 2 Sm 3.49-3.55, 2 Pu 3.54-3.59

Output
**Density**: 10.053 g/cm³
**DFT formation energy**: -61 kJ/mol of formula units
**M_tot**: 25.10 Bohr magnetons per cell
**DOS(E_F)**: 3.47 states/eV/atom


This record from Alexandria via LeMat-Bulk describes an optimized crystal structure of RbSr. The functional is GGA-PBE.

Lattice parameters (Å, degrees): 10.1610 10.1610 10.1610 90.00 90.00 90.00
Closest atoms and distances in Å follow each position.
Fractional coordinates of all 8 atoms:
Rb (0.2500, 0.2500, 0.2500)  4 Sr 4.40
Rb (0.2500, 0.7500, 0.7500)  4 Sr 4.40
Rb (0.7500, 0.2500, 0.7500)  4 Sr 4.40
Rb (0.7500, 0.7500, 0.2500)  4 Sr 4.40
Sr (0.0000, 0.0000, 0.0000)  4 Rb 4.40
Sr (0.0000, 0.5000, 0.5000)  4 Rb 4.40
Sr (0.5000, 0.0000, 0.5000)  4 Rb 4.40
Sr (0.5000, 0.5000, 0.0000)  4 Rb 4.40

Output
**Density**: 1.096 g/cm³
**DFT formation energy**: 142 kJ/mol of formula units
**M_tot**: 0.00 Bohr magnetons per cell
**DOS(E_F)**: 1.77 states/eV/atom


This record from Alexandria via LeMat-Bulk describes an optimized crystal structure of Er4Tl5Au2. The functional is GGA-PBE.

Lattice parameters (Å, degrees): 3.6238 8.0516 9.7876 93.25 90.00 90.00
Closest atoms and distances in Å follow each position.
Fractional coordinates of all 11 atoms:
Er (0.5000, 0.7841, 0.5787)  4 Au 3.00-3.03, 2 Tl 3.28
Er (0.5000, 0.2063, 0.8545)  2 Au 2.95, 2 Tl 3.24
Er (0.5000, 0.2159, 0.4213)  4 Au 3.00-3.03, 2 Tl 3.28
Er (0.5000, 0.7937, 0.1455)  2 Au 2.95, 2 Tl 3.24
Tl (0.0000, 0.5336, 0.3349)  1 Au 3.09, 2 Tl 3.27-3.31, 4 Er 3.28-3.40
Tl (0.0000, 0.1433, 0.1300)  1 Au 3.02, 2 Tl 3.21-3.34, 4 Er 3.31-3.36
Tl (0.0000, 0.5000, 0.0000)  4 Tl 3.21-3.27, 4 Er 3.24
Tl (0.0000, 0.8567, 0.8700)  1 Au 3.02, 2 Tl 3.21-3.34, 4 Er 3.31-3.36
Tl (0.0000, 0.4664, 0.6651)  1 Au 3.09, 2 Tl 3.27-3.31, 4 Er 3.28-3.40
Au (0.0000, 0.0823, 0.6337)  1 Au 2.87, 6 Er 2.95-3.03, 2 Tl 3.02-3.09
Au (0.0000, 0.9177, 0.3663)  1 Au 2.87, 6 Er 2.95-3.03, 2 Tl 3.02-3.09

Output
**Density**: 12.143 g/cm³
**DFT formation energy**: -467 kJ/mol of formula units
**M_tot**: 0.00 Bohr magnetons per cell
**DOS(E_F)**: 0.57 states/eV/atom


Question: M_tot of number 10 (SmPuBi)?
Answer: 25.10 Bohr magnetons per cell


Copy entry 4 word for word.
This record from Alexandria via LeMat-Bulk describes an optimized crystal structure of As2IrPt. The functional is GGA-PBE.

Lattice parameters (Å, degrees): 3.5593 3.5579 5.3148 90.00 90.00 90.00
Closest atoms and distances in Å follow each position.
Fractional coordinates of all 4 atoms:
As (0.0000, 0.0000, 0.9270)  1 Ir 2.47, 4 Pt 2.61
As (0.5000, 0.5000, 0.3184)  2 Pt 2.52-2.79, 4 Ir 2.63
Ir (0.0000, 0.0000, 0.4613)  5 As 2.47-2.63
Pt (0.5000, 0.5000, 0.7932)  6 As 2.52-2.79

Output
**Density**: 13.252 g/cm³
**DFT formation energy**: -31 kJ/mol of formula units
**M_tot**: 0.00 Bohr magnetons per cell
**DOS(E_F)**: 0.44 states/eV/atom
**Energy above the most stable polymorph in this dataset**: 0.0031 eV/atom